No. 1
# PBE-GGA LiYBiF2, optimized geometry
data_LiYBiF2
_cell_length_a 4.646
_cell_length_b 4.646
_cell_length_c 6.489
_cell_angle_alpha 90.00
_cell_angle_beta 90.00
_cell_angle_gamma 90.00
_space_group_name_H-M_alt 'P 4/m m m'
_space_group_IT_number 123
_space_group_name_Hall '-P 4 2'
loop_
_atom_site_label
_atom_site_type_symbol
_atom_site_fract_x
_atom_site_fract_y
_atom_site_fract_z
Li1 Li 0.000 0.000 0.000
Y1 Y 0.500 0.500 0.000
Bi1 Bi 0.500 0.500 0.500
F1 F 0.000 0.500 0.500
# Fermi-level density of states (states/eV/cell): 4.34
# Raw formation energy (eV per atom): -0.892
# Mass density (g cm⁻³): 4.06

=====

No. 2
# PBE-GGA LiZnBiF6, optimized geometry
data_LiZnBiF6
_cell_length_a 5.2898
_cell_length_b 5.2898
_cell_length_c 10.0141
_cell_angle_alpha 90.00
_cell_angle_beta 90.00
_cell_angle_gamma 120.00
_space_group_name_H-M_alt 'P -3 1 c'
_space_group_IT_number 163
_space_group_name_Hall '-P 3 2c'
loop_
_atom_site_label
_atom_site_type_symbol
_atom_site_fract_x
_atom_site_fract_y
_atom_site_fract_z
Li1 Li 0.3333 0.6667 0.2500
Zn1 Zn 0.3333 0.6667 0.7500
Bi1 Bi 0.0000 0.0000 0.0000
F1 F 0.0006 0.3507 0.6364
# Fermi-level density of states (states/eV/cell): 0.00
# Raw formation energy (eV per atom): -2.526
# Mass density (g cm⁻³): 5.41

=====

No. 3
# PBE-GGA MgBiF5, optimized geometry
data_MgBiF5
_cell_length_a 5.066
_cell_length_b 10.108
_cell_length_c 8.232
_cell_angle_alpha 90.00
_cell_angle_beta 96.30
_cell_angle_gamma 90.00
_space_group_name_H-M_alt 'P 1 21/c 1'
_space_group_IT_number 14
loop_
_space_group_symop_operation_xyz
'x,y,z'
'-x,-y,-z'
'-x,y+1/2,-z+1/2'
'x,-y+1/2,z+1/2'
loop_
_atom_site_label
_atom_site_type_symbol
_atom_site_fract_x
_atom_site_fract_y
_atom_site_fract_z
Mg1 Mg 0.045 0.006 0.197
Bi1 Bi 0.443 0.744 0.101
F1 F 0.075 0.622 0.133
F2 F 0.155 0.599 0.498
F3 F 0.254 0.115 0.800
F4 F 0.281 0.648 0.805
F5 F 0.366 0.124 0.187
# Fermi-level density of states (states/eV/cell): 0.00
# ΔE to the lowest computed polymorph (kJ per mole of atoms): 3.52
# Raw formation energy (eV per atom): -2.869
# Mass density (g cm⁻³): 5.20

=====

No. 4
# PBE-GGA MgBiF5, optimized geometry
data_MgBiF5
_cell_length_a 9.212
_cell_length_b 6.715
_cell_length_c 7.755
_cell_angle_alpha 90.00
_cell_angle_beta 114.87
_cell_angle_gamma 90.00
_space_group_name_H-M_alt 'C 1 2/c 1'
_space_group_IT_number 15
loop_
_space_group_symop_operation_xyz
'x,y,z'
'-x,-y,-z'
'-x,y,-z+1/2'
'x,-y,z+1/2'
'x+1/2,y+1/2,z'
'-x+1/2,-y+1/2,-z'
'-x+1/2,y+1/2,-z+1/2'
'x+1/2,-y+1/2,z+1/2'
loop_
_atom_site_label
_atom_site_type_symbol
_atom_site_fract_x
_atom_site_fract_y
_atom_site_fract_z
Mg1 Mg 0.000 0.000 0.000
Bi1 Bi 0.000 0.445 0.250
F1 F 0.000 0.087 0.250
F2 F 0.006 0.303 0.962
F3 F 0.235 0.014 0.620
# Fermi-level density of states (states/eV/cell): 0.00
# ΔE to the lowest computed polymorph (kJ per mole of atoms): 0.00
# Raw formation energy (eV per atom): -2.905
# Mass density (g cm⁻³): 5.01